Ba3YMn2O9: relaxed, GGA+U.

Results
**Raw total energy**: -7.04 eV per atom
**Calculated density**: 5.96 g/cm³

abc: 5.8147 5.8147 7.1772
angles: 90.00 90.00 120.00
Space group P-3m1 (No. 164)
One atom of each set of equivalent atoms:
Ba: 0.0000 0.0000 0.0000 [1 per cell]
Ba: 0.3333 0.6667 0.6795 [2 per cell]
Y: 0.0000 0.0000 0.5000 [1 per cell]
Mn: 0.3333 0.6667 0.1652 [2 per cell]
O: 0.0000 0.5000 0.0000 [3 per cell]
O: 0.1786 0.3573 0.3148 [6 per cell]